Compound: Na2AlNi3F12
Source: Alexandria
Functional: GGA+U
Structure: relaxed

```
18
Lattice="3.503 2.022 5.903 -3.503 2.022 5.903 0.000 -4.045 5.903" Properties=species:S:1:pos:R:3 pbc="T T T"
Na 0.000 0.000 1.733
Na 0.000 0.000 15.974
Al 0.000 0.000 8.854
Ni -1.751 -1.011 5.903
Ni -1.751 1.011 11.805
Ni 0.000 2.022 5.902
F 0.000 -1.690 5.380
F -1.464 0.845 5.380
F -1.301 -0.751 7.832
F -1.464 -0.845 12.328
F 0.000 -1.502 9.876
F -1.301 0.751 9.876
F 1.301 -0.751 7.832
F 0.000 1.502 7.832
F 1.464 0.845 5.380
F 1.301 0.751 9.876
F 1.464 -0.845 12.328
F 0.000 1.690 12.328
```

**Magnetic moment**: 5.00 μB/f.u.
**Density of states at the Fermi level**: 2.57 states/eV per cell
**Energy**: -0.1649 Ha/atom